# 1
## YPuHg2 (PBE-GGA)

Data for YPuHg2 after structural relaxation.

The space group is Fm-3m (No. 225) and the conventional cell measures 7.5027, 7.5027 and 7.5027 Å, with angles of 90.00, 90.00 and 90.00 degrees. Symmetry generates all atoms from Y at (0.0000, 0.0000, 0.0000), Pu at (0.0000, 0.0000, 0.5000) and Hg at (0.2500, 0.2500, 0.2500).

The calculation puts the excess energy over the best structure of this formula in the dataset at 19.7 meV/atom. The value obtained for the magnetic moment is 24.13 Bohr magnetons per cell.

# 2
## Y3PuHg4 (PBE-GGA)

Data for Y3PuHg4 after structural relaxation.

The space group is P4/mmm (No. 123) and the conventional cell measures 3.7129, 3.7129 and 15.1301 Å, with angles of 90.00, 90.00 and 90.00 degrees. Symmetry generates all atoms from Y at (0.0000, 0.0000, 0.0000), Y at (0.0000, 0.0000, 0.2475), Pu at (0.0000, 0.0000, 0.5000), Hg at (0.5000, 0.5000, 0.1240) and Hg at (0.5000, 0.5000, 0.3662).

The value obtained for the magnetic moment is 5.99 Bohr magnetons per cell. The total DFT energy (no corrections) is -4.7704 eV per atom.

# 3
## Y3PuHg6 (PBE-GGA)

Data for Y3PuHg6 after structural relaxation.

The space group is P2_1/m (No. 11) and the conventional cell measures 9.1757, 5.1883 and 11.2316 Å, with angles of 90.00, 107.95 and 90.00 degrees. Symmetry generates all atoms from Y at (0.0246, 0.2500, 0.3817), Y at (0.1462, 0.7500, 0.2040), Y at (0.2734, 0.2500, 0.9844), Pu at (0.4463, 0.2500, 0.5929), Hg at (0.0308, 0.7500, 0.9143), Hg at (0.1542, 0.2500, 0.6917), Hg at (0.2385, 0.7500, 0.4962), Hg at (0.3378, 0.2500, 0.2896), Hg at (0.3526, 0.7500, 0.8074) and Hg at (0.4350, 0.7500, 0.1094).

The value obtained for the magnetic moment is 12.13 Bohr magnetons per cell. The total DFT energy (no corrections) is -3.9066 eV per atom.

# 4
## YPu2Hg3 (PBE-GGA)

Data for YPu2Hg3 after structural relaxation.

The space group is P4/mmm (No. 123) and the conventional cell measures 3.6908, 3.6908 and 11.6094 Å, with angles of 90.00, 90.00 and 90.00 degrees. Symmetry generates all atoms from Y at (0.0000, 0.0000, 0.0000), Pu at (0.0000, 0.0000, 0.3302), Hg at (0.5000, 0.5000, 0.1578) and Hg at (0.5000, 0.5000, 0.5000).

The value obtained for the magnetic moment is 11.69 Bohr magnetons per cell. The total DFT energy (no corrections) is -6.2296 eV per atom.

# 5
## YPu3Hg12 (PBE-GGA)

Data for YPu3Hg12 after structural relaxation.

The space group is Pmmm (No. 47) and the conventional cell measures 4.6510, 4.6770 and 18.8425 Å, with angles of 90.00, 90.00 and 90.00 degrees. Symmetry generates all atoms from Y at (0.0000, 0.0000, 0.0000), Pu at (0.0000, 0.0000, 0.2481), Pu at (0.0000, 0.0000, 0.5000), Hg at (0.0000, 0.5000, 0.1218), Hg at (0.0000, 0.5000, 0.3734), Hg at (0.5000, 0.0000, 0.1219), Hg at (0.5000, 0.0000, 0.3738), Hg at (0.5000, 0.5000, 0.0000), Hg at (0.5000, 0.5000, 0.2447) and Hg at (0.5000, 0.5000, 0.5000).

The value obtained for the magnetic moment is 20.07 Bohr magnetons per cell. The total DFT energy (no corrections) is -3.4690 eV per atom.

# 6
## YPuZnHg (PBE-GGA)

Data for YPuZnHg after structural relaxation.

The space group is F-43m (No. 216) and the conventional cell measures 7.3584, 7.3584 and 7.3584 Å, with angles of 90.00, 90.00 and 90.00 degrees. Symmetry generates all atoms from Y at (0.0000, 0.0000, 0.0000), Pu at (0.0000, 0.0000, 0.5000), Zn at (0.2500, 0.2500, 0.7500) and Hg at (0.2500, 0.2500, 0.2500).

The value obtained for the magnetic moment is 24.65 Bohr magnetons per cell. The total DFT energy (no corrections) is -5.7949 eV per atom.

# 7
## PuZnHg2 (PBE-GGA)

Data for PuZnHg2 after structural relaxation.

The space group is P4/mmm (No. 123) and the conventional cell measures 4.5667, 4.5667 and 4.6455 Å, with angles of 90.00, 90.00 and 90.00 degrees. Symmetry generates all atoms from Pu at (0.0000, 0.0000, 0.0000), Zn at (0.5000, 0.5000, 0.0000) and Hg at (0.0000, 0.5000, 0.5000).

The value obtained for the magnetic moment is 6.54 Bohr magnetons per cell. The total DFT energy (no corrections) is -4.0834 eV per atom.

# 8
## Pu3Zn2Hg4 (PBE-GGA)

Data for Pu3Zn2Hg4 after structural relaxation.

The space group is C2/m (No. 12) and the conventional cell measures 10.6122, 5.0300 and 8.7187 Å, with angles of 90.00, 124.01 and 90.00 degrees. Symmetry generates all atoms from Pu at (0.0000, 0.0000, 0.0000), Pu at (0.0037, 0.0000, 0.3158), Zn at (0.1719, 0.5000, 0.2791), Hg at (0.1585, 0.5000, 0.9512) and Hg at (0.1692, 0.5000, 0.6093).

The value obtained for the magnetic moment is 22.95 Bohr magnetons per cell. The total DFT energy (no corrections) is -5.1424 eV per atom.

# 9
## PuZnHg2 (PBE-GGA)

Data for PuZnHg2 after structural relaxation.

The space group is R-3m (No. 166, hexagonal axes) and the conventional cell measures 3.4160, 3.4160 and 28.3358 Å, with angles of 90.00, 90.00 and 120.00 degrees. Symmetry generates all atoms from Pu at (0.0000, 0.0000, 0.0000), Zn at (0.0000, 0.0000, 0.5000) and Hg at (0.0000, 0.0000, 0.2404).

The value obtained for the magnetic moment is 18.47 Bohr magnetons per cell. The total DFT energy (no corrections) is -4.0062 eV per atom.

# 10
## PuZnHg2 (PBE-GGA)

Data for PuZnHg2 after structural relaxation.

The space group is P4/mmm (No. 123) and the conventional cell measures 3.2853, 3.2853 and 8.2690 Å, with angles of 90.00, 90.00 and 90.00 degrees. Symmetry generates all atoms from Pu at (0.0000, 0.0000, 0.0000), Zn at (0.0000, 0.0000, 0.5000) and Hg at (0.5000, 0.5000, 0.2820).

The value obtained for the magnetic moment is 5.93 Bohr magnetons per cell. The total DFT energy (no corrections) is -4.0983 eV per atom.

# 11
## PuZn4Hg (PBE-GGA)

Data for PuZn4Hg after structural relaxation.

The space group is F-43m (No. 216) and the conventional cell measures 7.7186, 7.7186 and 7.7186 Å, with angles of 90.00, 90.00 and 90.00 degrees. Symmetry generates all atoms from Pu at (0.0000, 0.0000, 0.0000), Zn at (0.1251, 0.1251, 0.3749) and Hg at (0.2500, 0.2500, 0.7500).

The value obtained for the magnetic moment is 22.48 Bohr magnetons per cell. The total DFT energy (no corrections) is -3.2971 eV per atom.

# 12
## PuZnHg2 (PBE-GGA)

Data for PuZnHg2 after structural relaxation.

The space group is F-43m (No. 216) and the conventional cell measures 7.1461, 7.1461 and 7.1461 Å, with angles of 90.00, 90.00 and 90.00 degrees. Symmetry generates all atoms from Pu at (0.0000, 0.0000, 0.0000), Zn at (0.2500, 0.2500, 0.2500), Hg at (0.0000, 0.0000, 0.5000) and Hg at (0.2500, 0.2500, 0.7500).

The value obtained for the magnetic moment is 22.25 Bohr magnetons per cell. The total DFT energy (no corrections) is -4.1050 eV per atom.